(1)
PBE-GGA Y4GaGe3, relaxed; crystal system = orthorhombic; energy of formation from the pure elements = -862 meV per atom; symmetry = No. 25
1.0
4.312 0.000 0.000
0.000 3.985 0.000
0.000 0.000 10.800
Y Ga Ge
4 1 3
Direct
0.500 0.500 0.361
0.000 0.500 0.860
0.000 0.000 0.139
0.500 0.000 0.639
0.500 0.500 0.080
0.000 0.500 0.585
0.000 0.000 0.416
0.500 0.000 0.919

(2)
PBE-GGA Nd2Tm3, relaxed; crystal system = monoclinic; energy of formation from the pure elements = 12 meV per atom; symmetry = No. 15
1.0
6.276 0.000 0.000
3.138 5.955 0.410
3.138 2.182 8.841
Nd Tm
4 6
Direct
0.768 0.752 0.050
0.571 0.748 0.450
0.429 0.252 0.550
0.232 0.248 0.950
0.369 0.745 0.850
0.963 0.755 0.650
0.835 0.250 0.750
0.165 0.750 0.250
0.037 0.245 0.350
0.631 0.255 0.150

(3)
PBE-GGA BaAu2F, relaxed; ΔE to the lowest computed polymorph = 89.6 kJ/mol of atoms; crystal system = cubic; E_form (uncorrected) = -0.616 eV/atom; symmetry = No. 225
1.0
-0.549 -4.286 3.032
-0.779 0.525 5.194
-4.703 -1.166 2.095
Au Ba F
2 1 1
Direct
0.250 0.250 0.250
0.750 0.750 0.750
0.500 0.500 0.500
0.000 0.000 0.000

(4)
PBE-GGA KTa2CoRe, relaxed; crystal system = tetragonal; energy of formation from the pure elements = 1444 meV per atom; symmetry = No. 123
1.0
-2.177 -3.814 -1.753
2.654 0.214 -3.761
3.195 -2.786 2.095
Re K Co Ta
1 1 1 2
Direct
0.000 0.500 0.000
0.500 0.500 0.500
0.000 0.000 0.000
0.000 0.000 0.500
0.500 0.000 0.000

(5)
PBE-GGA CsPr2Te3, relaxed; ΔE to the lowest computed polymorph = 6.2 kJ/mol of atoms; crystal system = orthorhombic; E_form (uncorrected) = -1.273 eV/atom; symmetry = No. 63
1.0
-2.703 -4.366 1.712
7.988 0.307 4.839
-4.859 6.006 7.642
Cs Pr Te
2 4 6
Direct
0.227 0.453 0.250
0.773 0.547 0.750
0.000 0.000 0.000
0.000 0.000 0.500
0.478 0.955 0.250
0.522 0.045 0.750
0.606 0.213 0.046
0.102 0.204 0.750
0.606 0.213 0.454
0.898 0.796 0.250
0.394 0.787 0.954
0.394 0.787 0.546

(6)
PBE-GGA AlNiC, relaxed; ΔE to the lowest computed polymorph = 6.0 kJ/mol of atoms; crystal system = monoclinic; energy of formation from the pure elements = 125 meV per atom; symmetry = No. 6
1.0
3.787 0.000 0.001
0.000 3.055 0.000
-1.061 0.000 5.485
Ni C Al
2 2 2
Direct
0.611 0.500 0.911
0.492 0.000 0.498
0.145 0.500 0.040
0.414 0.500 0.259
0.911 0.000 0.239
0.073 0.000 0.768

(7)
PBE-GGA NdHoGa, relaxed; ΔE to the lowest computed polymorph = 16.5 kJ/mol of atoms; crystal system = cubic; energy of formation from the pure elements = -233 meV per atom; symmetry = No. 216
1.0
-3.868 2.520 1.985
-2.514 -1.923 3.904
0.435 2.095 4.547
Nd Ho Ga
1 1 1
Direct
0.000 0.000 0.000
0.500 0.500 0.500
0.250 0.250 0.250

(8)
PBE-GGA Ho2Fe3Ge4, relaxed; ΔE to the lowest computed polymorph = 0.0 kJ/mol of atoms; crystal system = orthorhombic; energy of formation from the pure elements = -428 meV per atom; symmetry = No. 64
1.0
5.077 0.000 -1.989
0.000 7.317 0.000
0.121 0.000 7.784
Ho Fe Ge
4 6 8
Direct
0.112 0.594 0.223
0.888 0.406 0.777
0.388 0.094 0.777
0.612 0.906 0.223
0.000 0.000 0.000
0.500 0.500 0.000
0.526 0.750 0.552
0.974 0.250 0.448
0.474 0.250 0.448
0.026 0.750 0.552
0.694 0.750 0.887
0.806 0.250 0.113
0.306 0.250 0.113
0.194 0.750 0.887
0.184 0.973 0.369
0.816 0.027 0.631
0.316 0.473 0.631
0.684 0.527 0.369

(9)
PBE-GGA Pr8Co2Tc, relaxed; crystal system = monoclinic; energy of formation from the pure elements = 91 meV per atom; symmetry = No. 8
1.0
6.099 0.044 -1.036
-2.022 6.818 -3.087
-0.130 -0.327 7.745
Pr Co Tc
8 2 1
Direct
0.593 0.345 0.089
0.593 0.089 0.345
0.182 0.364 0.364
0.000 0.214 0.792
0.000 0.792 0.214
0.818 0.642 0.642
0.408 0.918 0.661
0.408 0.661 0.918
0.501 0.707 0.300
0.501 0.300 0.707
0.997 0.002 0.002

(10)
PBE-GGA PmTl2P2S6, relaxed; crystal system = monoclinic; E_form (uncorrected) = -0.594 eV/atom; symmetry = No. 12
1.0
6.948 0.000 0.000
-3.474 5.831 -0.176
0.000 -3.569 7.244
Pm Tl P S
1 2 2 6
Direct
0.500 0.000 0.500
0.706 0.412 0.192
0.294 0.588 0.808
0.958 0.917 0.826
0.042 0.083 0.174
0.764 0.527 0.621
0.187 0.891 0.198
0.296 0.109 0.802
0.813 0.109 0.802
0.704 0.891 0.198
0.236 0.473 0.379

(11)
PBE-GGA Ta2HgMo, relaxed; crystal system = orthorhombic; energy of formation from the pure elements = 212 meV per atom; symmetry = No. 35
1.0
2.863 -0.017 0.000
-0.880 2.725 0.000
0.000 0.000 9.382
Hg Mo Ta
1 1 2
Direct
0.000 0.000 0.505
0.500 0.500 0.763
0.000 0.000 0.993
0.500 0.500 0.240

(12)
PBE-GGA TaMn3Rh, relaxed; ΔE to the lowest computed polymorph = 60.0 kJ/mol of atoms; crystal system = cubic; energy of formation from the pure elements = 1883 meV per atom; symmetry = No. 221
1.0
-2.743 2.329 -2.529
-2.811 0.343 3.365
1.979 3.715 1.275
Mn Rh Ta
3 1 1
Direct
0.000 0.500 0.000
0.000 0.000 0.500
0.500 0.000 0.000
0.500 0.500 0.500
0.000 0.000 0.000

(13)
PBE-GGA Na2PbBr, relaxed; ΔE to the lowest computed polymorph = 41.0 kJ/mol of atoms; crystal system = cubic; E_form (uncorrected) = -0.288 eV/atom; symmetry = No. 225
1.0
2.537 -3.432 3.575
-0.197 1.034 5.468
-3.023 -3.268 3.344
Pb Na Br
1 2 1
Direct
0.500 0.500 0.500
0.250 0.250 0.250
0.750 0.750 0.750
0.000 0.000 0.000

(14)
PBE-GGA Sm2ZnGa4Ir3, relaxed; crystal system = tetragonal; energy of formation from the pure elements = -623 meV per atom; symmetry = No. 115
1.0
4.115 0.000 0.000
0.000 4.115 0.000
0.000 0.000 11.062
Sm Zn Ga Ir
2 1 4 3
Direct
0.500 0.000 0.244
0.000 0.500 0.756
0.500 0.500 0.500
0.500 0.500 0.000
0.000 0.000 0.000
0.500 0.000 0.636
0.000 0.500 0.364
0.000 0.000 0.500
0.500 0.000 0.863
0.000 0.500 0.137

(15)
PBE-GGA Dy2Y6Sc, relaxed; ΔE to the lowest computed polymorph = 2.9 kJ/mol of atoms; crystal system = monoclinic; energy of formation from the pure elements = 83 meV per atom; symmetry = No. 15
1.0
-1.657 -3.723 -4.886
-6.558 -4.524 5.124
-6.273 6.319 -3.233
Dy Y Sc
4 12 2
Direct
0.543 0.738 0.855
0.957 0.145 0.262
0.457 0.262 0.145
0.043 0.855 0.738
0.916 0.526 0.671
0.584 0.329 0.474
0.084 0.474 0.329
0.416 0.671 0.526
0.893 0.819 0.403
0.607 0.597 0.181
0.107 0.181 0.597
0.393 0.403 0.819
0.099 0.697 0.052
0.401 0.948 0.303
0.901 0.303 0.948
0.599 0.052 0.697
0.250 0.033 0.967
0.750 0.967 0.033

(16)
PBE-GGA NbV3Ni, relaxed; ΔE to the lowest computed polymorph = 143.0 kJ/mol of atoms; crystal system = cubic; energy of formation from the pure elements = 1655 meV per atom; symmetry = No. 221
1.0
-3.834 0.873 -2.306
-0.152 -4.339 -1.390
-2.461 -1.092 3.679
Ni Nb V
1 1 3
Direct
0.500 0.500 0.500
0.000 0.000 0.000
0.000 0.500 0.000
0.000 0.000 0.500
0.500 0.000 0.000

(17)
PBE-GGA MnBe2Re, relaxed; ΔE to the lowest computed polymorph = 49.4 kJ/mol of atoms; crystal system = tetragonal; energy of formation from the pure elements = 396 meV per atom; symmetry = No. 122
1.0
-0.212 5.944 -0.770
-4.033 -0.712 -4.382
-3.914 2.763 -0.951
Re Mn Be
2 2 4
Direct
0.000 0.000 0.000
0.750 0.250 0.500
0.500 0.500 0.000
0.250 0.750 0.500
0.608 0.125 0.250
0.142 0.625 0.250
0.375 0.392 0.750
0.875 0.858 0.750

(18)
PBE-GGA Nd2Cu4Sn3Ge, relaxed; crystal system = tetragonal; energy of formation from the pure elements = -420 meV per atom; symmetry = No. 115
1.0
-1.091 3.678 -2.166
-3.973 -0.058 1.902
3.745 5.822 8.001
Nd Cu Sn Ge
2 4 3 1
Direct
0.500 0.000 0.250
0.000 0.500 0.750
0.500 0.500 0.000
0.000 0.000 0.000
0.500 0.000 0.628
0.000 0.500 0.372
0.000 0.000 0.500
0.500 0.000 0.868
0.000 0.500 0.132
0.500 0.500 0.500

(19)
PBE-GGA MgTa4As, relaxed; crystal system = cubic; energy of formation from the pure elements = 534 meV per atom; symmetry = No. 216
1.0
0.000 3.916 3.916
3.916 0.000 3.916
3.916 3.916 0.000
Mg Ta As
1 4 1
Direct
0.000 0.000 0.000
0.881 0.373 0.373
0.373 0.373 0.881
0.373 0.881 0.373
0.373 0.373 0.373
0.750 0.750 0.750

(20)
PBE-GGA CeAgHg6, relaxed; ΔE to the lowest computed polymorph = 0.0 kJ/mol of atoms; crystal system = orthorhombic; energy of formation from the pure elements = -91 meV per atom; symmetry = No. 38
1.0
-1.214 4.827 0.514
-5.272 -0.906 -3.940
-1.352 -1.024 6.424
Ce Ag Hg
1 1 6
Direct
0.000 0.113 0.887
0.500 0.328 0.672
0.000 0.154 0.400
0.000 0.600 0.846
0.000 0.629 0.371
0.500 0.415 0.147
0.500 0.853 0.585
0.500 0.908 0.092

(21)
PBE-GGA CdMo3, relaxed; ΔE to the lowest computed polymorph = 22.6 kJ/mol of atoms; crystal system = tetragonal; energy of formation from the pure elements = 454 meV per atom; symmetry = No. 139
1.0
-2.024 2.024 8.116
2.024 -2.024 8.116
2.024 2.024 -8.116
Cd Mo
2 6
Direct
0.375 0.375 0.000
0.625 0.625 0.000
0.500 0.000 0.500
0.125 0.125 0.000
0.875 0.875 0.000
0.750 0.250 0.500
0.250 0.750 0.500
0.000 0.500 0.500

(22)
PBE-GGA Y4ScCo, relaxed; crystal system = cubic; energy of formation from the pure elements = 748 meV per atom; symmetry = No. 216
1.0
0.000 4.423 4.423
4.423 0.000 4.423
4.423 4.423 0.000
Y Sc Co
4 1 1
Direct
0.875 0.375 0.375
0.375 0.375 0.875
0.375 0.875 0.375
0.375 0.375 0.375
0.000 0.000 0.000
0.750 0.750 0.750

(23)
PBE-GGA BaAc2BeS5, relaxed; crystal system = tetragonal; E_form (uncorrected) = -1.941 eV/atom; symmetry = No. 140
1.0
8.212 0.000 0.000
0.000 8.212 0.000
-4.106 -4.106 6.591
Ba Ac Be S
2 4 2 10
Direct
0.250 0.250 0.500
0.750 0.750 0.500
0.166 0.334 0.000
0.666 0.166 0.000
0.334 0.834 0.000
0.834 0.666 0.000
0.250 0.750 0.500
0.750 0.250 0.500
0.006 0.506 0.292
0.714 0.214 0.708
0.994 0.494 0.708
0.214 0.994 0.708
0.494 0.714 0.708
0.786 0.006 0.292
0.506 0.286 0.292
0.286 0.786 0.292
0.500 0.500 0.000
0.000 0.000 0.000

(24)
PBE-GGA MnBeV2Re, relaxed; crystal system = tetragonal; energy of formation from the pure elements = 1144 meV per atom; symmetry = No. 123
1.0
-2.151 1.789 -3.117
-0.873 -4.052 -1.723
-3.500 -0.220 2.290
Re Mn Be V
1 1 1 2
Direct
0.000 0.500 0.000
0.000 0.000 0.000
0.500 0.500 0.500
0.000 0.000 0.500
0.500 0.000 0.000